# 1
Here is crystalline CeGe2Pd4 at its relaxed geometry from the Alexandria database. Energies are from PBE.

Cell and atoms, written as POSCAR:
```
CeGe2Pd4
1.0
-0.1261 -4.2552 0.0294
3.5329 -0.1446 -5.7648
14.7019 -0.3734 9.0193
Pd Ge Ce
16 8 4
Cartesian
0.9597 -3.2183 0.6495
5.5463 -3.3515 1.0501
12.4968 -3.5218 6.2131
7.0024 -3.4112 -1.3451
3.5521 -1.1670 0.4509
10.0598 -3.4766 2.3050
8.1862 -1.2802 3.9354
16.4987 -3.6480 5.1223
9.9224 -3.4930 -0.6514
5.6119 -1.2514 -2.9292
8.0488 -1.2966 0.9790
11.1062 -1.3620 4.6291
17.1489 -1.5549 2.6345
14.5565 -3.6063 2.8331
1.6099 -1.1252 -1.8383
12.5624 -1.4217 2.2339
12.1855 -3.5299 3.7100
14.9334 -1.4980 1.3763
5.9232 -1.2433 -0.4260
7.5556 -3.4003 2.6047
14.7929 -3.5824 7.2998
3.1753 -3.2753 1.9077
10.5530 -1.3729 0.6793
3.3157 -1.1909 -4.0158
14.3602 -1.4565 4.9143
12.8266 -3.5742 0.0609
5.2820 -1.1991 3.2231
3.7484 -3.3167 -1.6304
```

Summary:
M_tot (Bohr magnetons per cell): 2.01
Calculated volume (Å³/f.u.): 124
Total DFT energy (no corrections) (eV per cell): -162.0
DFT formation energy (eV/atom): -0.651
E above lowest polymorph (meV per atom): 51

---

# 2
Here is crystalline CeGePd at its relaxed geometry from the Alexandria database. Energies are from PBE.

Cell and atoms, written as POSCAR:
```
CeGePd
1.0
3.6891 0.0000 0.0000
0.0000 4.4435 0.0000
0.0000 -2.2217 3.8482
Pd Ce Ge
1 1 1
Cartesian
0.6161 0.0000 0.0000
2.4601 2.2217 1.2827
0.6129 0.0000 2.5654
```

Summary:
M_tot (Bohr magnetons per cell): 0.40
Calculated volume (Å³/f.u.): 63
Total DFT energy (no corrections) (eV per cell): -18.4
DFT formation energy (eV/atom): -0.893

---

# 3
Here is crystalline Ce3Ge2Pd at its relaxed geometry from the Alexandria database. Energies are from PBE.

Cell and atoms, written as POSCAR:
```
Ce3Ge2Pd
1.0
-2.2653 2.4231 -2.5468
-7.4755 -3.7823 -0.3828
-6.6637 3.8386 6.1457
Ge Ce Pd
4 6 2
Cartesian
-5.6156 -1.0424 0.5696
-6.7952 2.7158 1.7610
-9.6093 -0.2365 1.4552
-10.7890 3.5218 2.6465
-10.2329 -0.2755 -1.4608
-12.2432 1.1688 1.7014
-4.1613 1.3105 1.5147
-6.1716 2.7548 4.6769
-13.2929 2.5672 3.9656
-3.1116 -0.0879 -0.7495
-8.9319 1.8301 2.8188
-7.4727 0.6492 0.3974
```

Summary:
M_tot (Bohr magnetons per cell): 5.39
Calculated volume (Å³/f.u.): 152
Total DFT energy (no corrections) (eV per cell): -69.0
DFT formation energy (eV/atom): -0.381
E above lowest polymorph (meV per atom): 362

---

# 4
Here is crystalline Ce6Ge2Pd at its relaxed geometry from the Alexandria database. Energies are from PBE.

Cell and atoms, written as POSCAR:
```
Ce6Ge2Pd
1.0
-2.7542 -0.1939 -2.7172
5.4676 -2.9916 -5.3285
-4.3200 -5.1063 4.7433
Ce Ge Pd
6 2 1
Cartesian
1.6210 -6.0073 -3.9757
-0.8856 -3.5660 -1.6092
1.7485 -1.8071 -4.4046
4.3112 -4.3584 -4.0588
1.4634 -0.8007 -1.4262
0.8404 -5.9304 -0.4285
2.2052 -3.6963 -1.9714
-1.0575 -4.4017 1.3860
-1.3770 -0.0970 -1.3587
```

Summary:
M_tot (Bohr magnetons per cell): 3.34
Calculated volume (Å³/f.u.): 226
Total DFT energy (no corrections) (eV per cell): -54.6
DFT formation energy (eV/atom): -0.512